Material: LiOsRh2
Method: DFT, GGA-PBE
State: relaxed

Cell: 2.8327 4.3536 8.5887 Å, 90.00 90.00 90.00°
Closest atoms and distances in Å follow each position.
Space group Imm2 (No. 44)
Asymmetric unit:
Li1 0.0000 0.0000 0.0000 (multiplicity 2)  6 Rh 2.39-2.60, 2 Os 2.49
Os1 0.0000 0.5000 0.7385 (multiplicity 2)  2 Li 2.49, 6 Rh 2.62-2.65
Rh1 0.0000 0.0000 0.4999 (multiplicity 2)  4 Li 2.60, 2 Os 2.65, 6 Rh 2.76-2.90
Rh2 0.0000 0.5000 0.2762 (multiplicity 2)  2 Li 2.39, 4 Os 2.62

Summary:
Density of states at the Fermi level (states/eV/atom): 0.84
Distance to the lowest polymorph of the same formula (eV/f.u.): 0.56
Total magnetization (μB/cell): 0.00
Energy relative to the elements (eV per formula unit): 0.5
E (eV per atom): -6.835

Material: PuRh4Au
Method: DFT, GGA-PBE
State: relaxed

Cell: 7.4250 7.4250 7.4250 Å, 90.00 90.00 90.00°
Closest atoms and distances in Å follow each position.
Space group F-43m (No. 216)
Asymmetric unit:
Pu1 0.0000 0.0000 0.0000 (multiplicity 4)  12 Rh 3.08, 4 Au 3.22
Rh1 0.1244 0.1244 0.3756 (multiplicity 16)  6 Rh 2.61-2.64
Au1 0.2500 0.2500 0.7500 (multiplicity 4)  12 Rh 3.08, 4 Pu 3.22

Summary:
Density of states at the Fermi level (states/eV/atom): 1.71
Total magnetization (μB/cell): 15.37
Energy relative to the elements (eV per formula unit): -1.2
E (eV per atom): -8.040

Material: SmScGa2
Method: DFT, GGA-PBE
State: relaxed

Cell: 3.5116 3.5116 6.9718 Å, 90.00 90.00 90.00°
Closest atoms and distances in Å follow each position.
Space group P4/mmm (No. 123)
Asymmetric unit:
Sm1 0.0000 0.0000 0.0000 (multiplicity 1)  8 Ga 3.16, 2 Sc 3.49, 4 Sm 3.51
Sc1 0.0000 0.0000 0.5000 (multiplicity 1)  8 Ga 2.92
Ga1 0.5000 0.5000 0.2792 (multiplicity 2)  4 Sc 2.92, 1 Ga 3.08, 4 Sm 3.16

Summary:
Density of states at the Fermi level (states/eV/atom): 0.52
Distance to the lowest polymorph of the same formula (eV/f.u.): 0.00
Total magnetization (μB/cell): 0.00
Energy relative to the elements (eV per formula unit): -2.3
E (eV per atom): -4.861

Material: Ce2ZrPa
Method: DFT, GGA-PBE
State: relaxed

Cell: 3.1810 3.1810 10.0213 Å, 90.00 90.00 90.00°
Closest atoms and distances in Å follow each position.
Space group P4/mmm (No. 123)
Asymmetric unit:
Ce1 0.0000 0.0000 0.2478 (multiplicity 2)  4 Ce 3.18, 4 Pa 3.35, 4 Zr 3.38
Zr1 0.5000 0.5000 0.5000 (multiplicity 1)  4 Zr 3.18, 8 Ce 3.38
Pa1 0.5000 0.5000 0.0000 (multiplicity 1)  4 Pa 3.18, 8 Ce 3.35

Summary:
Density of states at the Fermi level (states/eV/atom): 2.12
Distance to the lowest polymorph of the same formula (eV/f.u.): 0.00
Total magnetization (μB/cell): 0.00
Energy relative to the elements (eV per formula unit): 0.3
E (eV per atom): -7.403

Material: Ba2NaYTe4
Method: DFT, GGA-PBE
State: relaxed

Cell: 8.1502 4.7377 8.2436 Å, 90.00 108.77 90.00°
Closest atoms and distances in Å follow each position.
Space group P2/m (No. 10)
Asymmetric unit:
Ba1 0.0000 0.0000 0.0000 (multiplicity 1)  6 Te 3.43-3.45
Ba2 0.0000 0.5000 0.5000 (multiplicity 1)  6 Te 3.54-3.55
Na1 0.5000 0.0000 0.5000 (multiplicity 1)  6 Te 3.25-3.30
Y1 0.5000 0.5000 0.0000 (multiplicity 1)  6 Te 3.12-3.19
Te1 0.2779 0.5000 0.2449 (multiplicity 2)  1 Y 3.12, 2 Na 3.30, 2 Ba 3.45
Te2 0.2832 0.0000 0.7690 (multiplicity 2)  2 Y 3.19, 1 Na 3.25, 3 Ba 3.43-3.54

Summary:
Total magnetization (μB/cell): 0.00
E (eV per atom): -4.519
Formation energy (no corrections) (eV/atom): -1.49

Material: Mg3C5
Method: DFT, GGA-PBE
State: relaxed

Cell: 2.5946 2.5946 10.8359 Å, 90.00 90.00 90.00°
Closest atoms and distances in Å follow each position.
Space group P4/mmm (No. 123)
Asymmetric unit:
Mg1 0.0000 0.0000 0.0000 (multiplicity 1)  2 C 2.19
Mg2 0.5000 0.5000 0.3685 (multiplicity 2)  5 C 2.27-2.32
C1 0.0000 0.0000 0.2018 (multiplicity 2)  4 C 1.89
C2 0.0000 0.0000 0.5000 (multiplicity 1)  8 Mg 2.32, 4 C 2.59
C3 0.5000 0.5000 0.1591 (multiplicity 2)  4 C 1.89

Summary:
Density of states at the Fermi level (states/eV/atom): 0.31
Distance to the lowest polymorph of the same formula (eV/f.u.): 8.37
Total magnetization (μB/cell): 0.00
Energy relative to the elements (eV per formula unit): 13.4
E (eV per atom): -4.688

Which value of E does entry 5 give?
-4.519 eV per atom

What did the sixth record say?
Material: Mg3C5
Method: DFT, GGA-PBE
State: relaxed

Cell: 2.5946 2.5946 10.8359 Å, 90.00 90.00 90.00°
Closest atoms and distances in Å follow each position.
Space group P4/mmm (No. 123)
Asymmetric unit:
Mg1 0.0000 0.0000 0.0000 (multiplicity 1)  2 C 2.19
Mg2 0.5000 0.5000 0.3685 (multiplicity 2)  5 C 2.27-2.32
C1 0.0000 0.0000 0.2018 (multiplicity 2)  4 C 1.89
C2 0.0000 0.0000 0.5000 (multiplicity 1)  8 Mg 2.32, 4 C 2.59
C3 0.5000 0.5000 0.1591 (multiplicity 2)  4 C 1.89

Summary:
Density of states at the Fermi level (states/eV/atom): 0.31
Distance to the lowest polymorph of the same formula (eV/f.u.): 8.37
Total magnetization (μB/cell): 0.00
Energy relative to the elements (eV per formula unit): 13.4
E (eV per atom): -4.688